# 1
The following is a GGA-PBE calculation of CsRe2PtSe after structural relaxation, from Alexandria.

## Properties
Energy relative to the elements, uncorrected: 3.77 eV per atom
SG: P4/mmm, No. 123
Total moment: 1.0150 μB per atom

abc: 5.033 5.393 5.033
angles: 90.00 90.00 90.00
Fractional positions:
1 Cs 0.000 0.000 0.000
2 Re 0.000 0.000 0.500
3 Re 0.500 0.000 0.000
4 Se 0.000 0.500 0.000
5 Pt 0.500 0.500 0.500

---

# 2
The following is a GGA-PBE calculation of CsRe2PtSe after structural relaxation, from Alexandria.

## Properties
Energy relative to the elements, uncorrected: 1.87 eV per atom
SG: P4/mmm, No. 123
Total moment: 0.9239 μB per atom

abc: 4.886 6.621 4.886
angles: 90.00 90.00 90.00
Fractional positions:
1 Cs 0.000 0.500 0.000
2 Re 0.000 0.000 0.500
3 Re 0.500 0.000 0.000
4 Se 0.500 0.500 0.500
5 Pt 0.000 0.000 0.000

---

# 3
The following is a GGA-PBE calculation of Cs3PtRh after structural relaxation, from Alexandria.

## Properties
Energy relative to the elements: 603 meV/atom
SG: Pm-3m, No. 221
Total moment: 0.0385 μB per atom

abc: 5.824 5.824 5.824
angles: 90.00 90.00 90.00
Fractional positions:
1 Cs 0.000 0.500 0.000
2 Cs 0.000 0.000 0.500
3 Cs 0.500 0.000 0.000
4 Rh 0.000 0.000 0.000
5 Pt 0.500 0.500 0.500

---

# 4
The following is a GGA-PBE calculation of Cs2PtRh after structural relaxation, from Alexandria.

## Properties
Energy relative to the elements: 400 meV/atom
SG: I-42d, No. 122
Total moment: 0.0000 μB per atom

abc: 12.521 12.521 9.185
angles: 47.03 47.03 90.00
Fractional positions:
1 Cs 0.428 0.125 0.250
2 Cs 0.322 0.625 0.250
3 Cs 0.375 0.572 0.750
4 Cs 0.875 0.678 0.750
5 Rh 0.500 0.500 0.000
6 Rh 0.250 0.750 0.500
7 Pt 0.000 0.000 0.000
8 Pt 0.750 0.250 0.500